VASP calculation (GGA-PBE) on crystalline LaTeBr2 at its relaxed geometry.

Unit cell a=4.5111 b=4.5111 c=5.9873 alpha=90.00 beta=90.00 gamma=90.00
With the nearest neighbours (Å) after each atom.
Space group P4mm (No. 99)
One atom of each set of equivalent atoms:
La: 0.0000 0.0000 0.0000 x1  2 Br 2.96-3.03
Te: 0.5000 0.5000 0.2021 x1  2 Br 2.89-3.10
Br: 0.0000 0.0000 0.4936 x1  2 La 2.96-3.03
Br: 0.5000 0.5000 0.7192 x1  2 Te 2.89-3.10

Uncorrected formation energy in eV per atom: -1.23
Energy above the lowest structure with this stoichiometry in meV per atom: 151
Total magnetization in Bohr magnetons per cell: 0.000